The following is a PBE calculation of RbBaNbMo2 after structural relaxation, from Alexandria via LeMat-Bulk.

Computed properties:
Total DFT energy (no corrections) in eV/cell: -20.6
Crystal system: tetragonal
Total magnetization in Bohr magnetons per cell: 2.68

Unit cell a=5.3817 b=5.3817 c=5.4361 alpha=90.00 beta=90.00 gamma=90.00
Closest atoms and distances in Å follow each position.
Sites, in units of the cell vectors:
Rb: 0.5000 0.5000 0.5000  4 Nb 3.81, 8 Mo 3.82
Mo: 0.0000 0.5000 0.0000  2 Ba 2.69
Mo: 0.5000 0.0000 0.0000  2 Ba 2.69
Ba: 0.0000 0.0000 0.0000  4 Mo 2.69, 2 Nb 2.72
Nb: 0.0000 0.0000 0.5000  2 Ba 2.72